[1]
LuGaNi | PBE-GGA | relaxed

Summary:
Calculated total energy ... -14.7 eV per cell
Fermi-level density of states ... 1.220 states/eV/atom

Unit cell a=4.333 b=4.333 c=4.333 alpha=60.00 beta=60.00 gamma=60.00
Sites, in units of the cell vectors:
Lu1 0.000 0.000 0.000
Ga1 0.500 0.500 0.500
Ni1 0.250 0.250 0.250


[2]
Mn4Os | PBE-GGA | relaxed

Summary:
ΔE to the lowest computed polymorph ... 0.0 meV per atom
Calculated total energy ... -47.5 eV per cell
Fermi-level density of states ... 1.485 states/eV/atom

Unit cell a=3.593 b=4.400 c=4.400 alpha=99.60 beta=114.10 gamma=65.90
Each line ends with the local moment (μB).
Sites, in units of the cell vectors:
Mn1 0.194 0.209 0.597  0.23
Mn2 0.403 0.403 0.209  0.23
Mn3 0.597 0.597 0.791  0.23
Mn4 0.806 0.791 0.403  0.23
Os1 0.000 0.000 0.000  -0.04


[3]
Al2TlCdHg | PBE-GGA | relaxed

Summary:
Calculated total energy ... -8.6 eV per cell
Fermi-level density of states ... 0.519 states/eV/atom

Unit cell a=5.148 b=5.636 c=5.148 alpha=90.00 beta=90.00 gamma=90.00
Sites, in units of the cell vectors:
Al1 0.000 0.000 0.500
Al2 0.500 0.000 0.000
Cd1 0.000 0.000 0.000
Hg1 0.000 0.500 0.000
Tl1 0.500 0.500 0.500


[4]
CePm6Pr | PBE-GGA | relaxed

Summary:
ΔE to the lowest computed polymorph ... 0.0 meV per atom
Calculated total energy ... -38.9 eV per cell
Fermi-level density of states ... 1.865 states/eV/atom

Unit cell a=5.153 b=5.153 c=10.290 alpha=90.00 beta=90.00 gamma=90.00
Each line ends with the local moment (μB).
Sites, in units of the cell vectors:
Pm1 0.000 0.500 0.745  0.00
Pm2 0.500 0.000 0.255  0.00
Pm3 0.000 0.500 0.255  0.00
Pm4 0.500 0.500 0.000  -0.02
Pm5 0.500 0.500 0.500  0.01
Pm6 0.500 0.000 0.745  0.00
Pr1 0.000 0.000 0.000  -0.03
Ce1 0.000 0.000 0.500  0.73


[5]
YTlP | PBE-GGA | relaxed

Summary:
ΔE to the lowest computed polymorph ... 0.0 meV per atom
Calculated total energy ... -16.2 eV per cell
Fermi-level density of states ... 0.416 states/eV/atom

Unit cell a=6.505 b=6.505 c=6.505 alpha=145.26 beta=145.26 gamma=49.95
Sites, in units of the cell vectors:
Tl1 0.679 0.679 0.000
Y1 0.410 0.410 0.000
P1 0.911 0.911 0.000


[6]
MoP2Au | PBE-GGA | relaxed

Summary:
ΔE to the lowest computed polymorph ... 48.3 meV per atom
Calculated total energy ... -24.9 eV per cell
Fermi-level density of states ... 0.532 states/eV/atom

Unit cell a=4.390 b=4.390 c=5.125 alpha=89.15 beta=89.15 gamma=42.07
Sites, in units of the cell vectors:
P1 0.961 0.961 0.078
P2 0.539 0.539 0.422
Mo1 0.250 0.250 0.250
Au1 0.750 0.750 0.750


[7]
DyCdBi | PBE-GGA | relaxed

Summary:
ΔE to the lowest computed polymorph ... 45.5 meV per atom
Calculated total energy ... -20.4 eV per cell
Fermi-level density of states ... 0.983 states/eV/atom

Unit cell a=4.966 b=4.966 c=8.942 alpha=73.88 beta=73.88 gamma=60.00
Sites, in units of the cell vectors:
Bi1 0.291 0.291 0.128
Bi2 0.709 0.709 0.872
Cd1 0.161 0.161 0.516
Cd2 0.839 0.839 0.484
Dy1 0.427 0.427 0.719
Dy2 0.573 0.573 0.281


[8]
Nd6TlGe2Te3 | PBE-GGA | relaxed

Summary:
Energy relative to the elements, uncorrected ... -1.09 eV/atom
Calculated total energy ... -62.7 eV per cell
Fermi-level density of states ... 0.529 states/eV/atom

Unit cell a=4.398 b=9.028 c=9.986 alpha=104.12 beta=102.72 gamma=90.00
Sites, in units of the cell vectors:
Tl1 0.500 0.000 0.000
Ge1 0.833 0.667 0.666
Ge2 0.167 0.333 0.334
Nd1 0.327 0.432 0.654
Nd2 0.007 0.257 0.015
Nd3 0.993 0.743 0.985
Nd4 0.331 0.897 0.662
Nd5 0.673 0.568 0.346
Nd6 0.669 0.103 0.338
Te1 0.165 0.831 0.329
Te2 0.500 0.500 0.000
Te3 0.835 0.169 0.671


[9]
BiAs2WBr | PBE-GGA | relaxed

Summary:
Energy relative to the elements, uncorrected ... 1.86 eV/atom
ΔE to the lowest computed polymorph ... 1307.1 meV per atom
Calculated total energy ... -18.5 eV per cell
Fermi-level density of states ... 0.492 states/eV/atom

Unit cell a=5.000 b=5.422 c=5.000 alpha=90.00 beta=90.00 gamma=90.00
Each line ends with the local moment (μB).
Sites, in units of the cell vectors:
As1 0.500 0.000 0.000  -0.16
As2 0.000 0.000 0.500  -0.18
W1 0.500 0.500 0.500  2.61
Br1 0.000 0.000 0.000  -0.01
Bi1 0.000 0.500 0.000  -0.22


[10]
BaHoTcO6 | PBE-GGA | relaxed

Summary:
Energy relative to the elements, uncorrected ... -2.29 eV/atom
Calculated total energy ... -67.2 eV per cell

Unit cell a=5.590 b=5.590 c=5.633 alpha=90.00 beta=90.00 gamma=60.00
Sites, in units of the cell vectors:
Ba1 0.000 0.000 0.000
Ho1 0.667 0.667 0.500
O1 0.359 0.598 0.304
O2 0.598 0.359 0.696
O3 0.598 0.043 0.304
O4 0.359 0.043 0.696
O5 0.043 0.598 0.696
O6 0.043 0.359 0.304
Tc1 0.333 0.333 0.500


[11]
B2C | PBE-GGA | relaxed

Summary:
ΔE to the lowest computed polymorph ... 316.2 meV per atom
Calculated total energy ... -84.3 eV per cell
Fermi-level density of states ... 0.150 states/eV/atom

Unit cell a=2.662 b=2.662 c=15.573 alpha=90.00 beta=90.00 gamma=120.00
Sites, in units of the cell vectors:
B1 0.667 0.333 0.695
B2 0.000 0.000 0.984
B3 0.667 0.333 0.333
B4 0.000 0.000 0.403
B5 0.667 0.333 0.803
B6 0.000 0.000 0.871
B7 0.000 0.000 0.511
B8 0.333 0.667 0.225
C1 0.667 0.333 0.233
C2 0.333 0.667 0.648
C3 0.333 0.667 0.986
C4 0.333 0.667 0.558


- Among the records above, which one has the lowest calculated total energy?
  B2C


- Which formula does entry 10 have?
  BaHoTcO6


- Which formula does entry 2 have?
  Mn4Os